1.
RbTlAu: optimized geometry, PBE-GGA.

a b c (Å): 5.574 5.574 5.574
angles (deg): 60.00 60.00 60.00
Element x y z (fractional)
Rb 0.000 0.000 0.000
Tl 0.250 0.250 0.250
Au 0.750 0.750 0.750

**Symmetry**: F-43m (216)
**Uncorrected energy**: -1.9558 eV per atom

2.
NdGdNO: optimized geometry, PBE-GGA.

a b c (Å): 5.025 4.087 7.050
angles (deg): 90.00 90.00 90.00
Element x y z (fractional)
Nd 0.250 0.000 0.165
Nd 0.750 0.000 0.835
Gd 0.250 0.500 0.666
Gd 0.750 0.500 0.334
N 0.250 0.500 0.342
N 0.750 0.500 0.658
O 0.250 0.000 0.814
O 0.750 0.000 0.186

**Symmetry**: Pmma (51)
**Uncorrected energy**: -7.7924 eV per atom